DFT (PBE) results for an optimized crystal structure of LiCu2Au9.

Values from the calculation:
For the calculated density, the calculation gives 15.73 g cm⁻³. The calculated formation energy is -122 meV per atom.

Cell and atoms, written as POSCAR:
```
LiCu2Au9
1.0
4.072 0.000 0.000
0.000 4.072 0.000
0.000 0.000 12.139
Li Au Cu
1 9 2
direct
0.000 0.000 0.000
0.500 0.000 0.500
0.000 0.500 0.168
0.500 0.500 0.666
0.500 0.000 0.832
0.000 0.500 0.500
0.500 0.000 0.168
0.500 0.500 0.334
0.000 0.500 0.832
0.500 0.500 0.000
0.000 0.000 0.666
0.000 0.000 0.334
```

***

DFT (PBE) results for an optimized crystal structure of Li2CuAu9.

Values from the calculation:
For the calculated density, the calculation gives 15.20 g cm⁻³. The calculated formation energy is -235 meV per atom.

Cell and atoms, written as POSCAR:
```
Li2CuAu9
1.0
-3.066 1.956 -1.835
-0.663 -3.254 -2.360
-7.767 -4.417 8.272
Li Au Cu
2 9 1
direct
0.000 0.000 0.333
0.000 0.000 0.667
0.500 0.500 0.667
0.500 0.000 0.166
0.000 0.500 0.166
0.500 0.000 0.500
0.500 0.500 0.000
0.500 0.500 0.333
0.000 0.500 0.500
0.000 0.500 0.834
0.500 0.000 0.834
0.000 0.000 0.000
```

***

DFT (PBE) results for an optimized crystal structure of Li3CuAu.

Values from the calculation:
For the calculated density, the calculation gives 6.33 g cm⁻³. The calculated formation energy is -276 meV per atom. As for the offset from the most stable computed form: 0.000 eV per atom.

Cell and atoms, written as POSCAR:
```
Li3CuAu
1.0
-1.519 2.765 -4.108
3.296 -2.090 -2.684
-5.913 -2.462 -1.631
Li Au Cu
6 2 2
direct
0.470 0.991 0.791
0.956 0.817 0.798
0.044 0.183 0.202
0.352 0.621 0.393
0.530 0.009 0.209
0.648 0.379 0.607
0.858 0.765 0.382
0.142 0.235 0.618
0.258 0.561 0.991
0.742 0.439 0.009
```

***

DFT (PBE) results for an optimized crystal structure of Li3CuAu6.

Values from the calculation:
For the calculated density, the calculation gives 11.15 g cm⁻³. The calculated formation energy is -227 meV per atom. As for the offset from the most stable computed form: 0.131 eV per atom.

Cell and atoms, written as POSCAR:
```
Li3CuAu6
1.0
8.875 0.339 0.240
4.403 4.914 0.115
4.403 1.751 4.593
Li Au Cu
3 6 1
direct
0.265 0.239 0.239
0.735 0.761 0.761
0.000 0.000 0.000
0.051 0.753 0.753
0.949 0.247 0.247
0.673 0.822 0.322
0.327 0.178 0.678
0.673 0.322 0.822
0.327 0.678 0.178
0.500 0.500 0.500
```

***

DFT (PBE) results for an optimized crystal structure of Li4CuAu3.

Values from the calculation:
For the calculated density, the calculation gives 9.60 g cm⁻³. The calculated formation energy is -418 meV per atom.

Cell and atoms, written as POSCAR:
```
Li4CuAu3
1.0
0.389 0.220 4.331
1.597 -3.390 2.217
7.302 1.593 1.451
Li Au Cu
4 3 1
direct
0.625 0.625 0.125
0.125 0.125 0.625
0.875 0.875 0.375
0.375 0.375 0.875
0.254 0.254 0.237
0.746 0.746 0.763
0.500 0.500 0.500
0.000 0.000 0.000
```

***

DFT (PBE) results for an optimized crystal structure of LiCuAu2.

Values from the calculation:
For the calculated density, the calculation gives 12.55 g cm⁻³. The calculated formation energy is -295 meV per atom.

Cell and atoms, written as POSCAR:
```
LiCuAu2
1.0
-1.356 4.791 0.090
-1.024 1.728 4.557
3.783 -2.517 -2.038
Au Li Cu
2 1 1
direct
0.000 0.000 0.000
0.750 0.250 0.500
0.250 0.750 0.500
0.500 0.500 0.000
```

***

Number 1: density of states at the Fermi level 4.4 states/eV/cell. Number 2: density of states at the Fermi level 4.7 states/eV/cell. Number 3: density of states at the Fermi level 2.4 states/eV/cell. Number 4: density of states at the Fermi level 2.8 states/eV/cell. Number 5: density of states at the Fermi level 1.4 states/eV/cell. Number 6: density of states at the Fermi level 1.1 states/eV/cell.